1.
A plane-wave DFT calculation with PBE-GGA was carried out for crystalline Ac2MgCuSe5 at its relaxed geometry.

Properties
The space group is No. 36.

Unit cell a=4.207 b=9.108 c=12.378 alpha=90.00 beta=90.00 gamma=103.35
Fractional positions:
Se1 0.497 0.994 0.754
Mg1 0.812 0.625 0.525
Ac1 0.125 0.249 0.702
Se2 0.340 0.681 0.017
Se3 0.503 0.006 0.254
Se4 0.304 0.608 0.674
Ac2 0.876 0.752 0.833
Se5 0.972 0.944 0.518
Cu1 0.446 0.892 0.431
Se6 0.309 0.618 0.370
Se7 0.696 0.392 0.174
Mg2 0.188 0.375 0.025
Se8 0.028 0.056 0.018
Se9 0.691 0.382 0.870
Se10 0.660 0.319 0.517
Ac3 0.124 0.248 0.333
Ac4 0.875 0.751 0.202
Cu2 0.554 0.108 0.931

2.
A plane-wave DFT calculation with PBE-GGA was carried out for crystalline Ac2MgCu4Si3 at its relaxed geometry.

Properties
The space group is No. 115.

Unit cell a=4.289 b=4.289 c=10.370 alpha=90.00 beta=90.00 gamma=90.00
Fractional positions:
Cu1 0.500 0.000 0.639
Ac1 0.000 0.500 0.765
Si1 0.000 0.000 0.500
Cu2 0.500 0.500 0.000
Si2 0.000 0.500 0.123
Ac2 0.500 0.000 0.235
Cu3 0.000 0.000 0.000
Si3 0.500 0.000 0.877
Mg1 0.500 0.500 0.500
Cu4 0.000 0.500 0.361

Quick rundown of total DFT energy (no corrections), same order as above: -88.29, -46.55 eV per cell
Quick rundown of formation energy without anion corrections, same order as above: -137, -39 kJ/mol of atoms